(1)
Entry from Alexandria: NaTeSe after structural relaxation (PBE-GGA).

extended XYZ file:
```
6
Lattice="5.2531 0.3766 1.5998 3.0224 4.2092 1.5473 3.0592 2.4257 10.6432" Properties=species:S:1:pos:R:3 pbc="T T T"
Te 6.7414 3.8985 2.8309
Na 4.8619 1.2734 4.0565
Na 5.4448 3.3075 7.3906
Se 3.0069 1.9905 6.3844
Se 2.0445 2.2124 3.4587
Te 6.5901 4.9035 10.1644
```

Output
Symmetry ... No. 1
Crystal system ... triclinic



(2)
Entry from Alexandria: Na2TeSe2 after structural relaxation (PBE-GGA).

extended XYZ file:
```
10
Lattice="7.8616 0.0000 0.0000 0.0000 7.8616 0.0000 0.0000 0.0000 4.1496" Properties=species:S:1:pos:R:3 pbc="T T T"
Na 5.0290 6.7633 2.0748
Na 6.7633 2.8325 2.0748
Se 2.5564 6.4872 0.0000
Se 5.3051 1.3744 0.0000
Te 3.9308 3.9308 0.0000
Se 1.3744 2.5564 0.0000
Na 2.8325 1.0982 2.0748
Na 1.0982 5.0290 2.0748
Se 6.4872 5.3051 0.0000
Te 0.0000 0.0000 0.0000
```

Output
Symmetry ... No. 127
Crystal system ... tetragonal



no.,final energy (eV per atom),offset from the most stable computed form (meV/atom),formation energy from raw total energies (eV per atom)
1,-3.147,0,-0.50
2,-3.170,0,-0.62